Record 1
Here is a relaxed AcTh2OsN5 crystal from Alexandria. Energies are from GGA-PBE.

Values from the calculation:
The total magnetic moment is 0.00 μB per formula unit. The value obtained for the energy relative to the elements, uncorrected is -1.0378 eV/atom. The uncorrected energy is -9.02 eV/atom.

Unit cell a=6.854 b=6.854 c=7.697 alpha=116.44 beta=116.44 gamma=90.00
Positions (direct):
Os 0.250 0.750 0.500
N 0.276 0.776 0.271
Ac 0.750 0.750 0.500
Os 0.750 0.250 0.500
Ac 0.250 0.250 0.500
Th 0.818 0.682 0.000
N 0.500 0.500 0.000
Th 0.682 0.182 0.000
N 0.505 0.724 0.729
N 0.495 0.276 0.271
Th 0.318 0.818 0.000
N 0.224 0.005 0.729
N 0.000 0.000 0.000
N 0.995 0.495 0.271
N 0.776 0.995 0.271
N 0.724 0.224 0.729
N 0.005 0.505 0.729
Th 0.182 0.318 0.000



Record 2
Here is a relaxed Mn2FeRh crystal from Alexandria. Energies are from GGA-PBE.

Values from the calculation:
As for the formation enthalpy at 0 K: 0.03 eV per atom. The total magnetic moment is 1.70 μB per formula unit. The excess energy over the best structure of this formula in the dataset is 89 meV/atom. The uncorrected energy is -8.51 eV/atom.

Unit cell a=3.611 b=2.583 c=5.757 alpha=63.27 beta=90.00 gamma=90.00
Positions (direct):
Rh 0.500 0.250 0.250
Fe 0.500 0.750 0.750
Mn 0.000 0.487 0.512
Mn 0.000 0.013 0.988



Record 3
Here is a relaxed Th4AgPd12 crystal from Alexandria. Energies are from GGA-PBE.

Values from the calculation:
As for the formation enthalpy at 0 K: -0.75 eV per atom. The total magnetic moment is 0.00 μB per formula unit. The uncorrected energy is -6.33 eV/atom.

Unit cell a=7.521 b=7.521 c=7.521 alpha=109.47 beta=109.47 gamma=109.47
Positions (direct):
Pd 0.250 0.500 0.750
Pd 0.302 0.000 0.302
Pd 0.500 0.250 0.750
Th 0.000 0.000 0.500
Th 0.500 0.000 0.000
Ag 0.000 0.000 0.000
Pd 0.500 0.750 0.250
Th 0.500 0.500 0.500
Pd 0.000 0.302 0.302
Pd 0.698 0.000 0.698
Pd 0.250 0.750 0.500
Th 0.000 0.500 0.000
Pd 0.750 0.250 0.500
Pd 0.698 0.698 0.000
Pd 0.750 0.500 0.250
Pd 0.000 0.698 0.698
Pd 0.302 0.302 0.000



Record 4
Here is a relaxed Ac3GeSb2Pd9 crystal from Alexandria. Energies are from GGA-PBE.

Values from the calculation:
The total magnetic moment is 0.00 μB per formula unit. The value obtained for the energy relative to the elements, uncorrected is -0.6109 eV/atom. The uncorrected energy is -5.41 eV/atom.

Unit cell a=6.942 b=6.942 c=8.686 alpha=90.00 beta=90.00 gamma=120.00
Positions (direct):
Pd 0.864 0.136 0.706
Ge 0.000 0.000 0.500
Pd 0.000 0.500 0.000
Pd 0.500 0.000 0.000
Ac 0.667 0.333 0.310
Pd 0.500 0.500 0.000
Ac 0.000 0.000 0.000
Pd 0.272 0.136 0.706
Pd 0.136 0.864 0.294
Ac 0.333 0.667 0.690
Pd 0.864 0.728 0.706
Pd 0.728 0.864 0.294
Sb 0.333 0.667 0.198
Sb 0.667 0.333 0.802
Pd 0.136 0.272 0.294



Record 5
Here is a relaxed TaAs2CBr crystal from Alexandria. Energies are from GGA-PBE.

Values from the calculation:
The total magnetic moment is 1.63 μB per formula unit. The excess energy over the best structure of this formula in the dataset is 238 meV/atom. The value obtained for the energy relative to the elements, uncorrected is 1.5404 eV/atom. The uncorrected energy is -4.87 eV/atom.

Unit cell a=5.024 b=5.024 c=5.087 alpha=90.00 beta=90.00 gamma=90.00
Positions (direct):
Br 0.000 0.000 0.500
As 0.000 0.500 0.000
C 0.500 0.500 0.500
As 0.500 0.000 0.000
Ta 0.000 0.000 0.000



Record 6
Here is a relaxed TmHgAu crystal from Alexandria. Energies are from GGA-PBE.

Values from the calculation:
As for the formation enthalpy at 0 K: -0.51 eV per atom. The total magnetic moment is 0.00 μB per formula unit. The uncorrected energy is -3.19 eV/atom.

Unit cell a=4.759 b=4.759 c=4.759 alpha=60.00 beta=60.00 gamma=60.00
Positions (direct):
Au 0.250 0.250 0.250
Hg 0.500 0.500 0.500
Tm 0.000 0.000 0.000